Density functional theory data (GGA-PBE) for a relaxed structure of NbVSnPb2.

a = 5.6024 Å, b = 5.6024 Å, c = 4.9873 Å
α = 90.00°, β = 90.00°, γ = 90.00°
Closest atoms and distances in Å follow each position.
Atoms (fractional coordinates):
Nb1 0.0000 0.0000 0.0000  8 Pb 3.75, 4 V 3.96
V1 0.5000 0.5000 0.0000  2 Sn 2.49
Sn1 0.5000 0.5000 0.5000  2 V 2.49
Pb1 0.0000 0.5000 0.5000  2 Sn 2.80
Pb2 0.5000 0.0000 0.5000  2 Sn 2.80

- VASP energy (eV for the cell shown) = -22.3
- Fermi-level density of states (states/eV/atom) = 2.06
- total magnetic moment (μB per cell) = 3.45
- volume (Å³/cell) = 156.5